Here is a relaxed PaTiCr2O8 crystal from the Alexandria database. Energies are from PBE with a Hubbard U.

The structure in extended XYZ format:
```
12
Lattice="-3.355 3.355 3.292 3.355 -3.355 3.292 3.355 3.355 -3.292" Properties=species:S:1:pos:R:3 pbc="T T T"
Pa 0.000 0.000 0.000
Ti 0.000 3.355 1.646
Cr 3.355 0.000 1.646
Cr 0.000 0.000 3.292
O 2.156 0.000 0.193
O 4.554 0.000 0.193
O 3.355 2.038 -1.222
O 3.355 -1.199 3.099
O 0.000 1.317 2.070
O 3.355 1.199 3.099
O 2.038 3.355 1.222
O 1.317 0.000 4.514
```

Calculated values
- space group = No. 119
- final energy (eV per cell) = -100.5